(1)
This record from Alexandria describes a geometry-optimized Ac3Ge2Pd7 structure. The functional is GGA-PBE.

Results
Its density of states at the Fermi level is 0.543 states/eV per atom. Its calculated volume is 21.912 Å³ per atom. For the offset from the most stable computed form, the calculation gives 0 meV/atom. Its energy of formation is -8.951 eV/f.u.

Structure (POSCAR):
```
Ac3Ge2Pd7
1.0
-2.157 2.157 14.135
2.157 -2.157 14.135
2.157 2.157 -14.135
Ac Ge Pd
3 2 7
Cartesian
0.000 0.000 0.000
0.000 0.000 4.916
0.000 0.000 23.353
0.000 0.000 10.648
0.000 0.000 17.621
2.157 0.000 2.210
0.000 0.000 8.082
2.157 0.000 11.925
0.000 0.000 14.135
0.000 2.157 2.210
0.000 0.000 20.187
0.000 2.157 11.925
```



(2)
This record from Alexandria describes a geometry-optimized ReMo2Se structure. The functional is GGA-PBE.

Results
Its density of states at the Fermi level is 0.977 states/eV per atom. Its calculated volume is 15.716 Å³ per atom. Its energy relative to the elements, uncorrected is 1.267 eV per formula unit.

Structure (POSCAR):
```
ReMo2Se
1.0
2.923 0.000 0.000
0.000 4.138 0.000
-0.011 0.000 5.196
Re Mo Se
1 2 1
Cartesian
0.000 0.000 0.000
1.461 2.069 1.265
1.452 2.069 3.931
-0.005 0.000 2.598
```



Please write out number 1 again, unchanged.
This record from Alexandria describes a geometry-optimized Ac3Ge2Pd7 structure. The functional is GGA-PBE.

Results
Its density of states at the Fermi level is 0.543 states/eV per atom. Its calculated volume is 21.912 Å³ per atom. For the offset from the most stable computed form, the calculation gives 0 meV/atom. Its energy of formation is -8.951 eV/f.u.

Structure (POSCAR):
```
Ac3Ge2Pd7
1.0
-2.157 2.157 14.135
2.157 -2.157 14.135
2.157 2.157 -14.135
Ac Ge Pd
3 2 7
Cartesian
0.000 0.000 0.000
0.000 0.000 4.916
0.000 0.000 23.353
0.000 0.000 10.648
0.000 0.000 17.621
2.157 0.000 2.210
0.000 0.000 8.082
2.157 0.000 11.925
0.000 0.000 14.135
0.000 2.157 2.210
0.000 0.000 20.187
0.000 2.157 11.925
```